(1)
LiTb2Nd | PBE-GGA | relaxed

Properties
Formation energy = 0.08 eV per atom
Magnetization = 0.0 μB/f.u.

Unit cell a=3.677 b=3.677 c=8.793 alpha=90.00 beta=90.00 gamma=90.00
Space group P4/mmm (No. 123)
Symmetry-distinct sites (fractional):
Li  0.000  0.000  0.000 [1 per cell]
Tb  0.500  0.500  0.216 [2 per cell]
Nd  0.000  0.000  0.500 [1 per cell]

---

(2)
LiTb2Nd | PBE-GGA | relaxed

Properties
Formation energy = 0.12 eV per atom
Magnetization = 0.0 μB/f.u.

Unit cell a=3.5488 b=3.5488 c=33.9661 alpha=90.00 beta=90.00 gamma=120.00
Space group R3m (No. 160, hexagonal axes)
Symmetry-distinct sites (fractional):
Li  0.0000  0.0000  0.0000 [3 per cell]
Tb  0.0000  0.0000  0.4130 [3 per cell]
Tb  0.0000  0.0000  0.5872 [3 per cell]
Nd  0.0000  0.0000  0.8332 [3 per cell]

---

(3)
Li2TbNd | PBE-GGA | relaxed

Properties
Formation energy = 0.15 eV per atom
Magnetization = 0.0 μB/f.u.

Unit cell a=3.769 b=3.769 c=7.581 alpha=90.00 beta=90.00 gamma=90.00
Space group P4/mmm (No. 123)
Symmetry-distinct sites (fractional):
Li  0.000  0.000  0.245 [2 per cell]
Tb  0.500  0.500  0.000 [1 per cell]
Nd  0.500  0.500  0.500 [1 per cell]

---

(4)
LiTb2Nd2 | PBE-GGA | relaxed

Properties
Formation energy = 0.43 eV per atom
Magnetization = 0.0 μB/f.u.

Unit cell a=4.399 b=4.399 c=17.848 alpha=90.00 beta=90.00 gamma=90.00
Space group I4/mmm (No. 139)
Symmetry-distinct sites (fractional):
Li  0.000  0.000  0.000 [2 per cell]
Tb  0.000  0.500  0.250 [4 per cell]
Nd  0.000  0.000  0.409 [4 per cell]

---

(5)
LiTb4Nd5 | PBE-GGA | relaxed

Properties
Formation energy = 0.03 eV per atom
Magnetization = 0.0 μB/f.u.

Unit cell a=3.633 b=3.633 c=24.639 alpha=90.00 beta=90.00 gamma=90.00
Space group P4/mmm (No. 123)
Symmetry-distinct sites (fractional):
Li  0.000  0.000  0.000 [1 per cell]
Tb  0.000  0.000  0.189 [2 per cell]
Tb  0.000  0.000  0.396 [2 per cell]
Nd  0.500  0.500  0.087 [2 per cell]
Nd  0.500  0.500  0.293 [2 per cell]
Nd  0.500  0.500  0.500 [1 per cell]

---

(6)
Li2TbNd | PBE-GGA | relaxed

Properties
Formation energy = 0.15 eV per atom
Magnetization = 0.0 μB/f.u.

Unit cell a=7.553 b=7.553 c=7.553 alpha=90.00 beta=90.00 gamma=90.00
Space group Fm-3m (No. 225)
Symmetry-distinct sites (fractional):
Li  0.250  0.250  0.250 [8 per cell]
Tb  0.000  0.000  0.000 [4 per cell]
Nd  0.000  0.000  0.500 [4 per cell]

---

(7)
LiTb2Nd | PBE-GGA | relaxed

Properties
Formation energy = 0.17 eV per atom
Magnetization = 0.0 μB/f.u.

Unit cell a=5.713 b=5.713 c=3.706 alpha=90.00 beta=90.00 gamma=90.00
Space group P4/mmm (No. 123)
Symmetry-distinct sites (fractional):
Li  0.000  0.000  0.000 [1 per cell]
Tb  0.000  0.500  0.500 [2 per cell]
Nd  0.500  0.500  0.000 [1 per cell]

---

(8)
Li2TbNdTe4 | PBE-GGA | relaxed

Properties
Total DFT energy (no corrections) = -4.519 eV/atom
Magnetization = 0.0 μB/f.u.

Unit cell a=7.521 b=4.413 c=7.639 alpha=90.00 beta=109.75 gamma=90.00
Space group P2/m (No. 10)
Symmetry-distinct sites (fractional):
Li  0.000  0.000  0.000 [1 per cell]
Li  0.000  0.500  0.500 [1 per cell]
Tb  0.500  0.000  0.500 [1 per cell]
Nd  0.500  0.500  0.000 [1 per cell]
Te  0.239  0.000  0.741 [2 per cell]
Te  0.242  0.500  0.254 [2 per cell]